# 1
Ni3Rh (PBE-GGA, optimized geometry); crystal system = trigonal; E_tot = -23.95 eV for the cell shown; SG = R-3m; ΔH_f (0 K) = 186 meV per atom
1.0
4.070 2.350 0.844
-4.070 2.350 0.844
0.000 -4.700 0.844
Ni Rh
3 1
Direct
0.000 0.500 0.500
0.500 0.000 0.500
0.500 0.500 0.000
0.000 0.000 0.000

# 2
NiRh (PBE-GGA, optimized geometry); crystal system = hexagonal; E_tot = -68.39 eV for the cell shown; SG = P6_3/m; ΔH_f (0 K) = 867 meV per atom
1.0
10.667 0.000 0.000
-5.333 9.238 0.000
0.000 0.000 2.523
Ni Rh
6 6
Direct
0.118 0.442 0.250
0.324 0.882 0.250
0.442 0.324 0.750
0.558 0.676 0.250
0.676 0.118 0.750
0.882 0.558 0.750
0.110 0.658 0.250
0.342 0.452 0.250
0.452 0.110 0.750
0.548 0.890 0.250
0.658 0.548 0.750
0.890 0.342 0.750

# 3
Ni13Rh2 (PBE-GGA, optimized geometry); crystal system = triclinic; E_tot = -89.63 eV for the cell shown; SG = P-1; ΔH_f (0 K) = 16 meV per atom
1.0
4.377 0.000 0.000
-0.014 6.203 0.000
-0.727 -2.094 6.321
Ni Rh
13 2
Direct
0.000 0.000 0.000
0.136 0.272 0.807
0.202 0.405 0.197
0.272 0.535 0.603
0.334 0.667 0.998
0.401 0.796 0.395
0.468 0.935 0.805
0.532 0.065 0.195
0.599 0.204 0.605
0.666 0.333 0.002
0.728 0.465 0.397
0.798 0.595 0.803
0.864 0.728 0.193
0.069 0.138 0.398
0.931 0.862 0.602

# 4
Ni2Rh3 (PBE-GGA, optimized geometry); crystal system = trigonal; distance to the lowest polymorph of the same formula = 0.082 eV/f.u.; E_tot = -33.35 eV for the cell shown; SG = R-3m; ΔH_f (0 K) = 53 meV per atom
1.0
1.336 0.771 10.618
-1.336 0.771 10.618
0.000 -1.542 10.618
Ni Rh
2 3
Direct
0.101 0.101 0.101
0.899 0.899 0.899
0.298 0.298 0.298
0.500 0.500 0.500
0.702 0.702 0.702

# 5
NiRh5 (PBE-GGA, optimized geometry); crystal system = orthorhombic; E_tot = -42.16 eV for the cell shown; SG = Amm2; ΔH_f (0 K) = 64 meV per atom
1.0
4.348 0.000 0.000
0.000 1.370 6.967
0.000 -1.370 6.967
Ni Rh
1 5
Direct
0.000 0.000 0.000
0.000 0.335 0.335
0.000 0.663 0.663
0.500 0.109 0.109
0.500 0.447 0.447
0.500 0.779 0.779

# 6
NiRh5 (PBE-GGA, optimized geometry); crystal system = cubic; E_tot = -39.40 eV for the cell shown; SG = F-43m; ΔH_f (0 K) = 522 meV per atom
1.0
0.000 3.575 3.575
3.575 0.000 3.575
3.575 3.575 0.000
Ni Rh
1 5
Direct
0.000 0.000 0.000
0.125 0.625 0.625
0.250 0.250 0.250
0.625 0.125 0.625
0.625 0.625 0.125
0.625 0.625 0.625

# 7
Ni2Rh (PBE-GGA, optimized geometry); crystal system = hexagonal; E_tot = -149.45 eV for the cell shown; SG = P6_3/mmc; ΔH_f (0 K) = 77 meV per atom
1.0
4.694 0.000 0.000
-2.347 4.065 0.000
0.000 0.000 15.336
Ni Rh
16 8
Direct
0.000 0.500 0.000
0.000 0.500 0.500
0.164 0.327 0.250
0.164 0.836 0.250
0.327 0.164 0.750
0.333 0.667 0.126
0.333 0.667 0.374
0.500 0.000 0.000
0.500 0.000 0.500
0.500 0.500 0.000
0.500 0.500 0.500
0.667 0.333 0.626
0.667 0.333 0.874
0.673 0.836 0.250
0.836 0.164 0.750
0.836 0.673 0.750
0.000 0.000 0.092
0.000 0.000 0.408
0.000 0.000 0.592
0.000 0.000 0.908
0.333 0.667 0.656
0.333 0.667 0.844
0.667 0.333 0.156
0.667 0.333 0.344

# 8
Ni2Rh (PBE-GGA, optimized geometry); crystal system = trigonal; E_tot = -36.99 eV for the cell shown; SG = P-3m1; ΔH_f (0 K) = 139 meV per atom
1.0
4.105 0.000 0.000
-2.053 3.555 0.000
0.000 0.000 5.054
Ni Rh
4 2
Direct
0.000 0.000 0.000
0.000 0.000 0.500
0.333 0.667 0.137
0.667 0.333 0.863
0.333 0.667 0.649
0.667 0.333 0.351

# 9
NiRh4 (PBE-GGA, optimized geometry); crystal system = tetragonal; distance to the lowest polymorph of the same formula = 3.891 eV/f.u.; E_tot = -31.18 eV for the cell shown; SG = I4/mmm; ΔH_f (0 K) = 802 meV per atom
1.0
-2.368 2.368 3.728
2.368 -2.368 3.728
2.368 2.368 -3.728
Ni Rh
1 4
Direct
0.000 0.000 0.000
0.250 0.750 0.500
0.343 0.343 0.000
0.657 0.657 0.000
0.750 0.250 0.500

# 10
Ni2Rh (PBE-GGA, optimized geometry); crystal system = monoclinic; E_tot = -37.67 eV for the cell shown; SG = C2/c; ΔH_f (0 K) = 27 meV per atom
1.0
2.237 -3.862 0.000
2.237 3.862 0.000
-1.531 0.000 4.242
Ni Rh
4 2
Direct
0.082 0.918 0.750
0.248 0.752 0.250
0.752 0.248 0.750
0.918 0.082 0.250
0.412 0.588 0.750
0.588 0.412 0.250

# 11
Ni2Rh (PBE-GGA, optimized geometry); crystal system = orthorhombic; E_tot = -37.54 eV for the cell shown; SG = Pmmm; ΔH_f (0 K) = 48 meV per atom
1.0
2.614 0.000 0.000
0.000 3.601 0.000
0.000 0.000 7.783
Ni Rh
4 2
Direct
0.000 0.000 0.000
0.000 0.000 0.341
0.000 0.000 0.659
0.500 0.500 0.500
0.500 0.500 0.173
0.500 0.500 0.827

# 12
Ni2Rh (PBE-GGA, optimized geometry); crystal system = orthorhombic; E_tot = -37.11 eV for the cell shown; SG = Cmcm; ΔH_f (0 K) = 120 meV per atom
1.0
2.123 -6.417 0.000
2.123 6.417 0.000
0.000 0.000 2.692
Ni Rh
4 2
Direct
0.076 0.924 0.750
0.234 0.766 0.250
0.766 0.234 0.750
0.924 0.076 0.250
0.405 0.595 0.750
0.595 0.405 0.250